[1]
ScSiOs2 | PBE | relaxed

Cell: 5.0269 5.0269 5.0269 Å, 136.39 136.39 63.38°
Fractional positions:
1 Sc 0.0000 0.0000 0.0000
2 Si 0.2500 0.7500 0.5000
3 Os 0.5000 0.5000 0.0000
4 Os 0.7500 0.2500 0.5000

Calculated values
* space-group type: I-4m2
* density of states at the Fermi level: 3.579 states/eV per cell
* energy relative to the elements, uncorrected: -0.164 eV per atom
* ρ: 12.62 Mg/m³
* magnetic moment: 0.0000 μB/atom
* calculated total energy: -8.7179 eV per atom



[2]
BeRu2Br | PBE | relaxed

Cell: 2.9131 2.9131 8.0999 Å, 90.00 90.00 90.00°
Fractional positions:
1 Be 0.0000 0.0000 0.0000
2 Ru 0.0000 0.0000 0.6503
3 Ru 0.5000 0.5000 0.8546
4 Br 0.5000 0.5000 0.4217

Calculated values
* space-group type: P4mm
* density of states at the Fermi level: 2.489 states/eV per cell
* energy relative to the elements, uncorrected: 0.376 eV per atom
* ρ: 7.03 Mg/m³
* magnetic moment: 0.0000 μB/atom
* calculated total energy: -5.6113 eV per atom



[3]
Th2FeHg | PBE | relaxed

Cell: 8.1577 8.1577 8.1577 Å, 28.35 28.35 28.35°
Fractional positions:
1 Th 0.0000 0.0000 0.0000
2 Th 0.2107 0.2107 0.2107
3 Fe 0.6054 0.6054 0.6054
4 Hg 0.4377 0.4377 0.4377

Calculated values
* space-group type: R3m
* density of states at the Fermi level: 2.688 states/eV per cell
* ρ: 11.06 Mg/m³
* DFT formation energy: -3.4 kcal/mol of atoms
* magnetic moment: 0.0000 μB/atom
* calculated total energy: -6.0496 eV per atom



[4]
Cs3KRu | PBE | relaxed

Cell: 6.4727 6.4727 6.4727 Å, 90.00 90.00 90.00°
Fractional positions:
1 Cs 0.0000 0.0000 0.5000
2 Cs 0.0000 0.5000 0.0000
3 Cs 0.5000 0.0000 0.0000
4 K 0.5000 0.5000 0.5000
5 Ru 0.0000 0.0000 0.0000

Calculated values
* space-group type: Pm-3m
* density of states at the Fermi level: 3.439 states/eV per cell
* ρ: 3.30 Mg/m³
* DFT formation energy: 19.4 kcal/mol of atoms
* magnetic moment: 0.0005 μB/atom
* calculated total energy: -1.7443 eV per atom



[5]
Ti5As | PBE | relaxed

Cell: 6.7814 6.7814 3.8523 Å, 90.00 90.00 146.18°
Fractional positions:
1 Ti 0.0000 0.0000 0.0000
2 Ti 0.1683 0.8317 0.5000
3 Ti 0.3349 0.6651 0.0000
4 Ti 0.6651 0.3349 0.0000
5 Ti 0.8317 0.1683 0.5000
6 As 0.5000 0.5000 0.5000

Calculated values
* space-group type: Cmmm
* density of states at the Fermi level: 6.450 states/eV per cell
* ρ: 5.29 Mg/m³
* DFT formation energy: -7.0 kcal/mol of atoms
* magnetic moment: 0.0000 μB/atom
* calculated total energy: -7.6593 eV per atom



[6]
Rb3SrSn | PBE | relaxed

Cell: 7.9203 7.9203 7.9203 Å, 90.00 90.00 90.00°
Fractional positions:
1 Rb 0.0000 0.0000 0.5000
2 Rb 0.0000 0.5000 0.0000
3 Rb 0.5000 0.0000 0.0000
4 Sr 0.0000 0.0000 0.0000
5 Sn 0.5000 0.5000 0.5000

Calculated values
* space-group type: Pm-3m
* density of states at the Fermi level: 3.714 states/eV per cell
* ρ: 1.55 Mg/m³
* DFT formation energy: 16.7 kcal/mol of atoms
* magnetic moment: 0.2065 μB/atom
* calculated total energy: -0.9942 eV per atom



[7]
La2Tb4Ho | PBE | relaxed

Cell: 7.2226 8.0611 8.8497 Å, 111.32 90.11 102.83°
Fractional positions:
1 La 0.0000 0.0000 0.0000
2 La 0.0710 0.2866 0.4308
3 La 0.3595 0.4362 0.1468
4 La 0.5005 0.0010 0.0003
5 Tb 0.1412 0.5704 0.8547
6 Tb 0.2144 0.8594 0.2911
7 Tb 0.2868 0.1445 0.7138
8 Tb 0.4310 0.7193 0.5747
9 Tb 0.5731 0.2892 0.4329
10 Tb 0.6441 0.5687 0.8535
11 Tb 0.7154 0.8584 0.2914
12 Tb 0.8589 0.4355 0.1460
13 Ho 0.7850 0.1446 0.7138
14 Ho 0.9284 0.7188 0.5738

Calculated values
* space-group type: P1
* density of states at the Fermi level: 20.909 states/eV per cell
* ρ: 7.68 Mg/m³
* DFT formation energy: 0.6 kcal/mol of atoms
* magnetic moment: 0.0000 μB/atom
* calculated total energy: -4.6837 eV per atom



[8]
CeYTeSe2 | PBE | relaxed

Cell: 7.7860 7.7860 7.7860 Å, 145.36 145.36 49.81°
Fractional positions:
1 Ce 0.0000 0.0000 0.0000
2 Y 0.7312 0.7312 0.0000
3 Te 0.3719 0.3719 0.0000
4 Se 0.1218 0.6218 0.5000
5 Se 0.6218 0.1218 0.5000

Calculated values
* space-group type: I4mm
* density of states at the Fermi level: 6.722 states/eV per cell
* energy relative to the elements, uncorrected: -1.350 eV per atom
* ρ: 5.63 Mg/m³
* magnetic moment: 0.2002 μB/atom
* calculated total energy: -5.8521 eV per atom



[9]
HgTe2Pt | PBE | relaxed

Cell: 7.6881 7.6881 7.6881 Å, 130.19 130.19 73.10°
Fractional positions:
1 Hg 0.0000 0.0000 0.0000
2 Hg 0.7500 0.2500 0.5000
3 Te 0.1708 0.6250 0.0458
4 Te 0.3750 0.4208 0.5458
5 Te 0.5792 0.1250 0.9542
6 Te 0.8750 0.8292 0.4542
7 Pt 0.2500 0.7500 0.5000
8 Pt 0.5000 0.5000 0.0000

Calculated values
* space-group type: I-42d
* density of states at the Fermi level: 1.791 states/eV per cell
* energy relative to the elements, uncorrected: -0.119 eV per atom
* ρ: 8.35 Mg/m³
* magnetic moment: 0.0000 μB/atom
* calculated total energy: -3.2752 eV per atom



[10]
TaInTc | PBE | relaxed

Cell: 4.4870 4.4870 4.4870 Å, 60.00 60.00 60.00°
Fractional positions:
1 Ta 0.0000 0.0000 0.0000
2 In 0.2500 0.2500 0.2500
3 Tc 0.7500 0.7500 0.7500

Calculated values
* space-group type: F-43m
* density of states at the Fermi level: 3.014 states/eV per cell
* ρ: 10.24 Mg/m³
* DFT formation energy: 17.8 kcal/mol of atoms
* magnetic moment: 0.0000 μB/atom
* calculated total energy: -7.5471 eV per atom



[11]
AcZnCdHg | PBE | relaxed

Cell: 5.2859 5.2859 5.2859 Å, 60.00 60.00 60.00°
Fractional positions:
1 Ac 0.0000 0.0000 0.0000
2 Zn 0.7500 0.7500 0.7500
3 Cd 0.5000 0.5000 0.5000
4 Hg 0.2500 0.2500 0.2500

Calculated values
* space-group type: F-43m
* density of states at the Fermi level: 1.843 states/eV per cell
* ρ: 9.63 Mg/m³
* DFT formation energy: -7.2 kcal/mol of atoms
* magnetic moment: 0.0000 μB/atom
* calculated total energy: -1.9629 eV per atom



[12]
Ba3Pa2Se2O5 | PBE | relaxed

Cell: 13.9982 13.9982 13.9982 Å, 161.51 161.51 26.26°
Fractional positions:
1 Ba 0.0000 0.0000 0.0000
2 Ba 0.1885 0.1885 0.0000
3 Ba 0.8115 0.8115 0.0000
4 Pa 0.4192 0.4192 0.0000
5 Pa 0.5808 0.5808 0.0000
6 Se 0.3091 0.3091 0.0000
7 Se 0.6909 0.6909 0.0000
8 O 0.0734 0.5734 0.5000
9 O 0.4266 0.9266 0.5000
10 O 0.5000 0.5000 0.0000
11 O 0.5734 0.0734 0.5000
12 O 0.9266 0.4266 0.5000

Calculated values
* space-group type: I4/mmm
* density of states at the Fermi level: 9.896 states/eV per cell
* energy relative to the elements, uncorrected: -2.799 eV per atom
* ρ: 6.70 Mg/m³
* magnetic moment: 0.1088 μB/atom
* calculated total energy: -7.5093 eV per atom



[13]
Pa2PdRh4 | PBE | relaxed

Cell: 4.7745 7.5088 7.3466 Å, 90.00 103.70 90.00°
Fractional positions:
1 Pa 0.1027 0.0507 0.2614
2 Pa 0.1027 0.4493 0.7614
3 Pa 0.8973 0.5507 0.2386
4 Pa 0.8973 0.9493 0.7386
5 Pd 0.5000 0.0000 0.0000
6 Pd 0.5000 0.5000 0.5000
7 Rh 0.2197 0.7020 0.0555
8 Rh 0.2197 0.7980 0.5555
9 Rh 0.3546 0.1716 0.6573
10 Rh 0.3546 0.3284 0.1573
11 Rh 0.6454 0.6716 0.8427
12 Rh 0.6454 0.8284 0.3427
13 Rh 0.7803 0.2020 0.4445
14 Rh 0.7803 0.2980 0.9445

Calculated values
* space-group type: P2_1/c
* density of states at the Fermi level: 8.848 states/eV per cell
* ρ: 12.72 Mg/m³
* DFT formation energy: -15.8 kcal/mol of atoms
* magnetic moment: 0.0000 μB/atom
* calculated total energy: -8.3425 eV per atom



[14]
PaBiH | PBE | relaxed

Cell: 4.4495 4.4495 6.5995 Å, 90.00 90.00 90.00°
Fractional positions:
1 Pa 0.2500 0.2500 0.1230
2 Pa 0.7500 0.7500 0.8770
3 Bi 0.2500 0.7500 0.5000
4 Bi 0.7500 0.2500 0.5000
5 H 0.2500 0.7500 0.0000
6 H 0.7500 0.2500 0.0000

Calculated values
* space-group type: P4/nmm
* density of states at the Fermi level: 8.888 states/eV per cell
* ρ: 11.21 Mg/m³
* magnetic moment: 0.6018 μB/atom
* calculated total energy: -5.5470 eV per atom



[15]
Sr2ScS3 | PBE | relaxed

Cell: 8.4845 8.4845 8.4845 Å, 152.51 146.53 43.84°
Fractional positions:
1 Sr 0.1490 0.1490 0.0000
2 Sr 0.8510 0.8510 0.0000
3 Sc 0.5000 0.5000 0.0000
4 S 0.0000 0.5000 0.5000
5 S 0.3375 0.3375 0.0000
6 S 0.6625 0.6625 0.0000

Calculated values
* space-group type: Immm
* density of states at the Fermi level: 1.227 states/eV per cell
* energy relative to the elements, uncorrected: -1.868 eV per atom
* ρ: 3.39 Mg/m³
* magnetic moment: 0.1434 μB/atom
* calculated total energy: -5.5479 eV per atom



[16]
CaBe2Ni | PBE | relaxed

Cell: 7.9039 7.9039 7.9039 Å, 148.19 148.19 45.60°
Fractional positions:
1 Ca 0.3750 0.6250 0.7500
2 Ca 0.6250 0.3750 0.2500
3 Be 0.0000 0.0000 0.0000
4 Be 0.0000 0.0000 0.5000
5 Be 0.0000 0.5000 0.0000
6 Be 0.5000 0.0000 0.5000
7 Ni 0.1250 0.8750 0.2500
8 Ni 0.8750 0.1250 0.7500

Calculated values
* space-group type: I4_1/amd
* density of states at the Fermi level: 3.787 states/eV per cell
* ρ: 2.84 Mg/m³
* DFT formation energy: 3.0 kcal/mol of atoms
* magnetic moment: 0.0000 μB/atom
* calculated total energy: -3.6807 eV per atom



[17]
LiHg2SbAu | PBE | relaxed

Cell: 5.2934 5.2934 4.8170 Å, 90.00 90.00 90.00°
Fractional positions:
1 Li 0.0000 0.0000 0.0000
2 Hg 0.0000 0.5000 0.5000
3 Hg 0.5000 0.0000 0.5000
4 Sb 0.5000 0.5000 0.0000
5 Au 0.0000 0.0000 0.5000

Calculated values
* space-group type: P4/mmm
* density of states at the Fermi level: 3.484 states/eV per cell
* energy relative to the elements, uncorrected: 0.149 eV per atom
* ρ: 8.94 Mg/m³
* magnetic moment: 0.0000 μB/atom
* calculated total energy: -1.8345 eV per atom



[18]
Cs2CuIrI6 | PBE | relaxed

Cell: 8.0198 8.0198 8.0198 Å, 60.00 60.00 60.00°
Fractional positions:
1 Cs 0.2500 0.2500 0.2500
2 Cs 0.7500 0.7500 0.7500
3 Cu 0.0000 0.0000 0.0000
4 Ir 0.5000 0.5000 0.5000
5 I 0.2574 0.2574 0.7426
6 I 0.2574 0.7426 0.2574
7 I 0.2574 0.7426 0.7426
8 I 0.7426 0.2574 0.2574
9 I 0.7426 0.2574 0.7426
10 I 0.7426 0.7426 0.2574

Calculated values
* space-group type: Fm-3m
* density of states at the Fermi level: 3.336 states/eV per cell
* energy relative to the elements, uncorrected: -0.564 eV per atom
* ρ: 5.84 Mg/m³
* magnetic moment: 0.0000 μB/atom
* calculated total energy: -2.9601 eV per atom



[19]
Tb6PrTh3 | PBE | relaxed

Cell: 10.4032 5.6637 11.5025 Å, 90.00 95.74 90.00°
Fractional positions:
1 Tb 0.0485 0.2500 0.1011
2 Tb 0.1500 0.2500 0.7656
3 Tb 0.2822 0.7500 0.0818
4 Tb 0.3104 0.7500 0.5338
5 Tb 0.3376 0.7500 0.8126
6 Tb 0.3437 0.2500 0.3056
7 Tb 0.6563 0.7500 0.6944
8 Tb 0.6624 0.2500 0.1874
9 Tb 0.6896 0.2500 0.4662
10 Tb 0.7178 0.2500 0.9182
11 Tb 0.8500 0.7500 0.2344
12 Tb 0.9515 0.7500 0.8989
13 Pr 0.4524 0.2500 0.6695
14 Pr 0.5476 0.7500 0.3305
15 Th 0.0407 0.2500 0.4344
16 Th 0.1371 0.7500 0.3005
17 Th 0.3980 0.2500 0.9818
18 Th 0.6020 0.7500 0.0182
19 Th 0.8629 0.2500 0.6995
20 Th 0.9593 0.7500 0.5656

Calculated values
* space-group type: P2_1/m
* density of states at the Fermi level: 26.421 states/eV per cell
* ρ: 8.82 Mg/m³
* DFT formation energy: 4.0 kcal/mol of atoms
* magnetic moment: 0.0000 μB/atom
* calculated total energy: -5.3073 eV per atom